A relaxed VIr2PbF crystal, computed with PBE with a Hubbard U.

Output
Symmetry   P4/mmm, No. 123
Final energy   -4.30 eV per atom
Theoretical density   7.7 Mg/m³

Unit cell a=5.0930 b=5.0930 c=5.4697 alpha=90.00 beta=90.00 gamma=90.00
With the nearest neighbours (Å) after each atom.
Element x y z (fractional)
V (0.0000, 0.0000, 0.0000)  2 Pb 2.73
Ir (0.0000, 0.5000, 0.5000)  2 Pb 2.55
Ir (0.5000, 0.0000, 0.5000)  2 Pb 2.55
Pb (0.0000, 0.0000, 0.5000)  4 Ir 2.55, 2 V 2.73
F (0.5000, 0.5000, 0.0000)  4 V 3.60, 8 Ir 3.74